1.
{
  "formula": "NpNi7Sb2P2",
  "functional": "GGA-PBE",
  "state": "relaxed",
  "lattice_angstrom": [[3.827, 0.054, -0.156], [0.058, 3.827, -0.156], [1.523, 1.521, 12.315]],
  "species": ["Ni", "Np", "Ni", "Ni", "Sb", "Ni", "Sb", "Ni", "Ni", "Ni", "P", "P"],
  "fractional_positions": [[0.500, 0.500, 0.000], [0.000, 0.000, 0.000], [0.181, 0.680, 0.749], [0.714, 0.714, 0.611], [0.220, 0.220, 0.596], [0.680, 0.181, 0.749], [0.780, 0.780, 0.404], [0.320, 0.819, 0.251], [0.819, 0.320, 0.251], [0.286, 0.286, 0.389], [0.658, 0.658, 0.835], [0.342, 0.342, 0.165]],
  "volume_a3_per_atom": 15.2,
  "dos_at_fermi_per_ev_cell": 14.30,
  "energy_ev_per_atom": -6.34
}

2.
{
  "formula": "YCd6",
  "functional": "GGA-PBE",
  "state": "relaxed",
  "lattice_angstrom": [[-4.015, -2.681, -0.069], [2.546, -3.849, 1.423], [-1.287, 1.748, 7.030]],
  "species": ["Cd", "Y", "Cd", "Cd", "Cd", "Cd", "Cd"],
  "fractional_positions": [[0.000, 0.500, 0.719], [0.000, 0.000, 0.000], [0.000, 0.000, 0.500], [0.500, 0.000, 0.719], [0.500, 0.000, 0.281], [0.000, 0.500, 0.281], [0.500, 0.500, 0.000]],
  "volume_a3_per_atom": 24.5,
  "delta_e_f_ev_per_atom": -0.167,
  "dos_at_fermi_per_ev_cell": 4.09,
  "energy_ev_per_atom": -1.87
}

3.
{
  "formula": "LiCd2Pb",
  "functional": "GGA-PBE",
  "state": "relaxed",
  "lattice_angstrom": [[-3.918, -8.583, 4.962], [-1.017, -9.797, 4.078], [-1.293, -8.074, 6.840]],
  "species": ["Cd", "Cd", "Pb", "Li"],
  "fractional_positions": [[0.988, 0.988, 0.988], [0.512, 0.512, 0.512], [0.750, 0.750, 0.750], [0.250, 0.250, 0.250]],
  "volume_a3_per_atom": 24.3,
  "delta_e_f_ev_per_atom": -0.061,
  "dos_at_fermi_per_ev_cell": 1.00,
  "energy_ev_per_atom": -1.92
}

4.
{
  "formula": "AgHF2",
  "functional": "GGA-PBE",
  "state": "relaxed",
  "lattice_angstrom": [[1.626, 0.000, 6.052], [-0.813, 1.408, 6.052], [-0.813, -1.408, 6.052]],
  "species": ["Ag", "F", "H", "F"],
  "fractional_positions": [[0.000, 0.000, 0.000], [0.884, 0.884, 0.884], [0.500, 0.500, 0.500], [0.116, 0.116, 0.116]],
  "volume_a3_per_atom": 10.4,
  "dos_at_fermi_per_ev_cell": 0.00,
  "energy_ev_per_atom": -3.00
}

5.
{
  "formula": "Li2TbNdGe2",
  "functional": "GGA-PBE",
  "state": "relaxed",
  "lattice_angstrom": [[-3.058, -2.698, 1.808], [3.651, -1.723, -1.897], [3.532, 0.343, 6.485]],
  "species": ["Nd", "Ge", "Tb", "Li", "Ge", "Li"],
  "fractional_positions": [[0.000, 0.000, 0.000], [0.333, 0.667, 0.260], [0.000, 0.000, 0.500], [0.333, 0.667, 0.726], [0.667, 0.333, 0.740], [0.667, 0.333, 0.274]],
  "volume_a3_per_atom": 21.2,
  "delta_e_f_ev_per_atom": -0.680,
  "dos_at_fermi_per_ev_cell": 1.23,
  "energy_ev_per_atom": -4.42
}

6.
{
  "formula": "In2TcNi",
  "functional": "GGA-PBE",
  "state": "relaxed",
  "lattice_angstrom": [[-8.384, -3.354, -1.408], [-6.930, -4.646, -3.730], [-6.870, -5.945, -0.994]],
  "species": ["In", "In", "Ni", "Tc"],
  "fractional_positions": [[0.007, 0.007, 0.007], [0.239, 0.239, 0.239], [0.494, 0.494, 0.494], [0.760, 0.760, 0.760]],
  "volume_a3_per_atom": 17.8,
  "delta_e_f_ev_per_atom": 0.342,
  "dos_at_fermi_per_ev_cell": 4.31,
  "energy_ev_per_atom": -5.06
}

7.
{
  "formula": "YTa2Zn",
  "functional": "GGA-PBE",
  "state": "relaxed",
  "lattice_angstrom": [[5.077, -0.005, 0.010], [4.188, 2.871, 0.010], [0.760, 0.235, 5.599]],
  "species": ["Ta", "Ta", "Zn", "Y"],
  "fractional_positions": [[0.992, 0.992, 0.987], [0.735, 0.735, 0.802], [0.261, 0.261, 0.231], [0.512, 0.512, 0.480]],
  "volume_a3_per_atom": 20.4,
  "delta_e_f_ev_per_atom": 0.293,
  "dos_at_fermi_per_ev_cell": 4.63,
  "energy_ev_per_atom": -7.57
}

8.
{
  "formula": "LiCrAg2",
  "functional": "GGA-PBE",
  "state": "relaxed",
  "lattice_angstrom": [[3.239, 0.000, 0.000], [0.000, 3.218, 0.004], [0.000, 3.190, 6.382]],
  "species": ["Cr", "Ag", "Li", "Ag"],
  "fractional_positions": [[0.500, 0.250, 0.250], [0.000, 0.010, 0.989], [0.500, 0.750, 0.750], [0.000, 0.490, 0.511]],
  "volume_a3_per_atom": 16.6,
  "delta_e_f_ev_per_atom": 0.181,
  "dos_at_fermi_per_ev_cell": 1.41,
  "energy_ev_per_atom": -4.13
}

9.
{
  "formula": "CuRh2Cl",
  "functional": "GGA-PBE",
  "state": "relaxed",
  "lattice_angstrom": [[6.719, 0.000, 0.000], [0.000, 6.719, 0.000], [3.359, 3.359, 2.766]],
  "species": ["Cu", "Cl", "Rh", "Cu", "Rh", "Cl", "Rh", "Rh"],
  "fractional_positions": [[0.000, 0.000, 0.000], [0.250, 0.750, 0.500], [0.875, 0.853, 0.750], [0.750, 0.250, 0.500], [0.147, 0.625, 0.250], [0.500, 0.500, 0.000], [0.603, 0.125, 0.250], [0.375, 0.397, 0.750]],
  "volume_a3_per_atom": 15.6,
  "dos_at_fermi_per_ev_cell": 10.31,
  "energy_ev_per_atom": -4.48
}

10.
{
  "formula": "NbRe3F",
  "functional": "GGA-PBE",
  "state": "relaxed",
  "lattice_angstrom": [[4.222, 0.000, 0.000], [0.000, 4.222, 0.000], [0.000, 0.000, 4.222]],
  "species": ["Re", "F", "Nb", "Re", "Re"],
  "fractional_positions": [[0.000, 0.500, 0.000], [0.000, 0.000, 0.000], [0.500, 0.500, 0.500], [0.500, 0.000, 0.000], [0.000, 0.000, 0.500]],
  "volume_a3_per_atom": 15.0,
  "dos_at_fermi_per_ev_cell": 6.18,
  "energy_ev_per_atom": -8.87
}